<i>
Entry from Alexandria: a geometry-optimized CaBOF2 structure (PBE).

a b c (Å): 4.365 4.365 2.766
angles (deg): 90.00 90.00 90.00
Element x y z (fractional)
Ca 0.500 0.500 0.500
F 0.500 0.000 0.000
F 0.000 0.500 0.000
B 0.000 0.000 0.000
O 0.000 0.000 0.500

Magnetic moment in μB per formula unit: 0.00
Space-group type: No. 123
Calculated volume in A^3/atom: 10.538

=====

<ii>
Entry from Alexandria: a geometry-optimized CaBOF2 structure (PBE).

a b c (Å): 4.342 4.342 4.690
angles (deg): 90.00 90.00 90.00
Element x y z (fractional)
Ca 0.000 0.000 0.000
B 0.500 0.500 0.500
F 0.500 0.000 0.000
F 0.000 0.500 0.000
O 0.000 0.000 0.500

Magnetic moment in μB per formula unit: 1.00
Space-group type: No. 123
Calculated volume in A^3/atom: 17.682

=====

Relative energies, unit meV per atom: <i> 0; <ii> 1018

=====

<i>
Entry from Alexandria: a geometry-optimized CaTi2BF structure (PBE).

a b c (Å): 4.150 4.443 4.150
angles (deg): 90.00 90.00 90.00
Element x y z (fractional)
F 0.000 0.000 0.000
Ca 0.000 0.500 0.000
Ti 0.500 0.000 0.000
Ti 0.000 0.000 0.500
B 0.500 0.500 0.500

Magnetic moment in μB per formula unit: 1.75
Space-group type: No. 123
Calculated volume in A^3/atom: 15.299

=====

<ii>
Entry from Alexandria: a geometry-optimized CaTi2BF structure (PBE).

a b c (Å): 4.053 5.173 4.053
angles (deg): 90.00 90.00 90.00
Element x y z (fractional)
B 0.000 0.500 0.000
Ti 0.500 0.000 0.000
Ti 0.000 0.000 0.500
Ca 0.500 0.500 0.500
F 0.000 0.000 0.000

Magnetic moment in μB per formula unit: 0.00
Space-group type: No. 123
Calculated volume in A^3/atom: 16.994

=====

Relative energies, unit meV per atom: <i> 0; <ii> 121

=====

<i>
Entry from Alexandria: a geometry-optimized CaFe3B structure (PBE).

a b c (Å): 4.451 4.451 4.451
angles (deg): 90.00 90.00 90.00
Element x y z (fractional)
Fe 0.500 0.000 0.000
Fe 0.000 0.000 0.500
Fe 0.000 0.500 0.000
B 0.500 0.500 0.500
Ca 0.000 0.000 0.000

Magnetic moment in μB per formula unit: 7.13
Space-group type: No. 221
Calculated volume in A^3/atom: 17.635

=====

<ii>
Entry from Alexandria: a geometry-optimized CaFe3B structure (PBE).

a b c (Å): 4.027 4.027 4.027
angles (deg): 90.00 90.00 90.00
Element x y z (fractional)
B 0.000 0.000 0.000
Ca 0.500 0.500 0.500
Fe 0.500 0.000 0.000
Fe 0.000 0.500 0.000
Fe 0.000 0.000 0.500

Magnetic moment in μB per formula unit: 4.99
Space-group type: No. 221
Calculated volume in A^3/atom: 13.066

=====

Relative energies, unit meV per atom: <i> 2567; <ii> 0

=====

<i>
Entry from Alexandria: a geometry-optimized CaGaB3 structure (PBE).

a b c (Å): 4.868 4.868 4.868
angles (deg): 90.00 90.00 90.00
Element x y z (fractional)
Ga 0.500 0.500 0.500
B 0.000 0.500 0.000
B 0.000 0.000 0.500
B 0.500 0.000 0.000
Ca 0.000 0.000 0.000

Magnetic moment in μB per formula unit: 0.00
Space-group type: No. 221
Calculated volume in A^3/atom: 23.066

=====

<ii>
Entry from Alexandria: a geometry-optimized CaGaB3 structure (PBE).

a b c (Å): 4.217 4.217 4.217
angles (deg): 90.00 90.00 90.00
Element x y z (fractional)
B 0.000 0.500 0.000
B 0.000 0.000 0.500
B 0.500 0.000 0.000
Ga 0.000 0.000 0.000
Ca 0.500 0.500 0.500

Magnetic moment in μB per formula unit: 0.00
Space-group type: No. 221
Calculated volume in A^3/atom: 15.002

=====

Relative energies, unit meV per atom: <i> 1285; <ii> 0

=====

<i>
Entry from Alexandria: a geometry-optimized Ca2GaB structure (PBE).

a b c (Å): 4.922 4.922 4.922
angles (deg): 60.00 60.00 60.00
Element x y z (fractional)
B 0.000 0.000 0.000
Ca 0.750 0.750 0.750
Ca 0.250 0.250 0.250
Ga 0.500 0.500 0.500

Magnetic moment in μB per formula unit: 0.00
Space-group type: No. 225
Calculated volume in A^3/atom: 21.077

=====

<ii>
Entry from Alexandria: a geometry-optimized Ca2GaB structure (PBE).

a b c (Å): 7.687 7.687 6.372
angles (deg): 52.90 52.90 90.00
Element x y z (fractional)
Ca 0.375 0.424 0.750
Ca 0.875 0.826 0.750
Ca 0.174 0.625 0.250
Ca 0.576 0.125 0.250
Ga 0.750 0.250 0.500
Ga 0.000 0.000 0.000
B 0.250 0.750 0.500
B 0.500 0.500 0.000

Magnetic moment in μB per formula unit: 0.00
Space-group type: No. 122
Calculated volume in A^3/atom: 24.553

=====

Relative energies, unit meV per atom: <i> 0; <ii> 252

=====

<i>
Entry from Alexandria: a geometry-optimized CaGe3B structure (PBE).

a b c (Å): 5.376 5.376 5.376
angles (deg): 90.00 90.00 90.00
Element x y z (fractional)
Ge 0.500 0.000 0.000
Ge 0.000 0.000 0.500
Ge 0.000 0.500 0.000
B 0.500 0.500 0.500
Ca 0.000 0.000 0.000

Magnetic moment in μB per formula unit: 0.85
Space-group type: No. 221
Calculated volume in A^3/atom: 31.069

=====

<ii>
Entry from Alexandria: a geometry-optimized CaGe3B structure (PBE).

a b c (Å): 4.578 4.578 4.578
angles (deg): 90.00 90.00 90.00
Element x y z (fractional)
Ge 0.500 0.000 0.000
Ge 0.000 0.500 0.000
Ge 0.000 0.000 0.500
Ca 0.500 0.500 0.500
B 0.000 0.000 0.000

Magnetic moment in μB per formula unit: 0.00
Space-group type: No. 221
Calculated volume in A^3/atom: 19.191

=====

Relative energies, unit meV per atom: <i> 1547; <ii> 0